No. 1
The following is a PBE calculation of an optimized crystal structure of Nb2TlOsCl, from Alexandria.

a = 5.2661 Å, b = 5.2661 Å, c = 4.9081 Å
α = 90.00°, β = 90.00°, γ = 90.00°
Sites, in units of the cell vectors:
Nb (0.0000, 0.5000, 0.0000)
Nb (0.5000, 0.0000, 0.0000)
Tl (0.0000, 0.0000, 0.0000)
Os (0.5000, 0.5000, 0.5000)
Cl (0.0000, 0.0000, 0.5000)

Output
Energy (eV per atom): -4.431
Formation energy without anion corrections (eV/f.u.): 13.4
Symmetry: P4/mmm, No. 123


No. 2
The following is a PBE calculation of an optimized crystal structure of ZrNbOs2Cl, from Alexandria.

a = 4.8148 Å, b = 4.8148 Å, c = 4.6262 Å
α = 90.00°, β = 90.00°, γ = 90.00°
Sites, in units of the cell vectors:
Zr (0.0000, 0.0000, 0.0000)
Nb (0.5000, 0.5000, 0.5000)
Os (0.0000, 0.5000, 0.5000)
Os (0.5000, 0.0000, 0.5000)
Cl (0.5000, 0.5000, 0.0000)

Output
Energy (eV per atom): -7.456
Formation energy without anion corrections (eV/f.u.): 5.6
Symmetry: P4/mmm, No. 123


- What is the formula in the second record?
  ZrNbOs2Cl


- Which of these has the highest energy?
  Nb2TlOsCl


- The highest formation energy without anion corrections belongs to which entry?
  Nb2TlOsCl


- Among the records above, which one has the highest formation energy without anion corrections?
  Nb2TlOsCl